First-principles (PBE) data for HoNi3 after structural relaxation, as listed in Alexandria.

a b c (Å): 3.8375 3.8375 3.8375
angles (deg): 90.00 90.00 90.00
Space group Pm-3m (No. 221)
Inequivalent atoms, fractional coordinates:
1 Ho 0.0000 0.0000 0.0000 [1 per cell]
2 Ni 0.0000 0.5000 0.5000 [3 per cell]

Values from the calculation:
Mass density in g/cm3: 10.02
Calculated total energy in eV per formula unit: -23.022
Crystal system: cubic